# 1
{"formula": "InPdRh2", "functional": "GGA-PBE", "state": "relaxed", "cell": [[4.061, 0.000, 0.000], [0.000, 4.061, 0.000], [0.000, 0.000, 3.838]], "species": ["In", "Pd", "Rh", "Rh"], "fractional_positions": [[0.000, 0.000, 0.000], [0.500, 0.500, 0.000], [0.000, 0.500, 0.500], [0.500, 0.000, 0.500]], "crystal_system": "tetragonal", "dft_energy_ev_per_atom": -5.84}

# 2
{"formula": "In4Pd2Rh", "functional": "GGA-PBE", "state": "relaxed", "cell": [[-3.235, 3.235, 3.276], [3.235, -3.235, 3.276], [3.235, 3.235, -3.276]], "species": ["In", "In", "In", "In", "Pd", "Pd", "Rh"], "fractional_positions": [[0.000, 0.000, 0.500], [0.000, 0.500, 0.000], [0.500, 0.000, 0.000], [0.500, 0.500, 0.500], [0.000, 0.500, 0.500], [0.500, 0.000, 0.500], [0.000, 0.000, 0.000]], "crystal_system": "tetragonal", "dft_energy_ev_per_atom": -4.49}

# 3
{"formula": "InPd2Rh", "functional": "GGA-PBE", "state": "relaxed", "cell": [[3.976, 0.000, 0.000], [0.000, 3.976, 0.000], [0.000, 0.000, 4.082]], "species": ["In", "Pd", "Pd", "Rh"], "fractional_positions": [[0.000, 0.000, 0.000], [0.000, 0.500, 0.500], [0.500, 0.000, 0.500], [0.500, 0.500, 0.000]], "crystal_system": "tetragonal", "dft_energy_ev_per_atom": -5.39}

# 4
{"formula": "In4PdRh", "functional": "GGA-PBE", "state": "relaxed", "cell": [[4.519, -4.557, 0.000], [4.519, 4.557, 0.000], [-4.494, 0.000, 6.424]], "species": ["In", "In", "In", "In", "In", "In", "In", "In", "Pd", "Pd", "Rh", "Rh"], "fractional_positions": [[0.001, 0.756, 0.502], [0.244, 0.999, 0.998], [0.245, 0.501, 0.002], [0.499, 0.755, 0.498], [0.501, 0.245, 0.502], [0.755, 0.499, 0.998], [0.756, 0.001, 0.002], [0.999, 0.244, 0.498], [0.375, 0.625, 0.750], [0.625, 0.375, 0.250], [0.125, 0.875, 0.250], [0.875, 0.125, 0.750]], "crystal_system": "monoclinic", "dft_energy_ev_per_atom": -4.27}

# 5
{"formula": "In2Pd8Rh", "functional": "GGA-PBE", "state": "relaxed", "cell": [[-1.988, 3.964, 5.881], [1.988, -3.964, 5.881], [1.988, 3.964, -5.881]], "species": ["In", "In", "Pd", "Pd", "Pd", "Pd", "Pd", "Pd", "Pd", "Pd", "Rh"], "fractional_positions": [[0.159, 0.159, 0.000], [0.841, 0.841, 0.000], [0.085, 0.337, 0.749], [0.251, 0.000, 0.251], [0.335, 0.835, 0.500], [0.412, 0.663, 0.749], [0.588, 0.337, 0.251], [0.665, 0.165, 0.500], [0.749, 0.000, 0.749], [0.915, 0.663, 0.251], [0.500, 0.500, 0.000]], "crystal_system": "orthorhombic", "dft_energy_ev_per_atom": -5.15}

# 6
{"formula": "In2Pd2Rh", "functional": "GGA-PBE", "state": "relaxed", "cell": [[1.633, -8.601, 0.000], [1.633, 8.601, 0.000], [0.000, 0.000, 3.152]], "species": ["In", "In", "Pd", "Pd", "Rh"], "fractional_positions": [[0.097, 0.903, 0.000], [0.903, 0.097, 0.000], [0.315, 0.685, 0.500], [0.685, 0.315, 0.500], [0.500, 0.500, 0.500]], "crystal_system": "orthorhombic", "dft_energy_ev_per_atom": -4.98}

# 7
{"formula": "In6Pd5Rh", "functional": "GGA-PBE", "state": "relaxed", "cell": [[4.614, 0.000, 0.000], [0.000, 6.661, 0.000], [-2.217, 0.000, 6.938]], "species": ["In", "In", "In", "In", "In", "In", "Pd", "Pd", "Pd", "Pd", "Pd", "Rh"], "fractional_positions": [[0.000, 0.246, 0.000], [0.000, 0.754, 0.000], [0.336, 0.248, 0.671], [0.336, 0.752, 0.671], [0.664, 0.248, 0.329], [0.664, 0.752, 0.329], [0.167, 0.000, 0.337], [0.168, 0.500, 0.338], [0.500, 0.500, 0.000], [0.832, 0.500, 0.662], [0.833, 0.000, 0.663], [0.500, 0.000, 0.000]], "crystal_system": "monoclinic", "dft_energy_ev_per_atom": -4.62}

# 8
{"formula": "In6Pd2Rh", "functional": "GGA-PBE", "state": "relaxed", "cell": [[4.564, 0.000, 0.000], [-2.282, 3.952, 0.000], [0.000, 0.000, 11.056]], "species": ["In", "In", "In", "In", "In", "In", "Pd", "Pd", "Rh"], "fractional_positions": [[0.000, 0.000, 0.247], [0.000, 0.000, 0.753], [0.333, 0.667, 0.415], [0.333, 0.667, 0.922], [0.667, 0.333, 0.078], [0.667, 0.333, 0.585], [0.333, 0.667, 0.667], [0.667, 0.333, 0.333], [0.000, 0.000, 0.000]], "crystal_system": "trigonal", "dft_energy_ev_per_atom": -4.17}

# 9
{"formula": "InPd2Rh", "functional": "GGA-PBE", "state": "relaxed", "cell": [[4.107, 0.000, 0.000], [0.000, 3.860, 0.000], [0.000, 0.000, 8.184]], "species": ["In", "In", "Pd", "Pd", "Pd", "Pd", "Rh", "Rh"], "fractional_positions": [[0.250, 0.000, 0.141], [0.750, 0.000, 0.859], [0.250, 0.000, 0.621], [0.250, 0.500, 0.377], [0.750, 0.000, 0.379], [0.750, 0.500, 0.623], [0.250, 0.500, 0.879], [0.750, 0.500, 0.121]], "crystal_system": "orthorhombic", "dft_energy_ev_per_atom": -5.35}

# 10
{"formula": "In2PdRh", "functional": "GGA-PBE", "state": "relaxed", "cell": [[4.698, 0.000, 0.000], [0.000, 4.698, 0.000], [0.000, 0.000, 3.155]], "species": ["In", "In", "Pd", "Rh"], "fractional_positions": [[0.000, 0.500, 0.000], [0.500, 0.000, 0.000], [0.000, 0.000, 0.500], [0.500, 0.500, 0.500]], "crystal_system": "tetragonal", "dft_energy_ev_per_atom": -4.95}

no.,ΔH_f (0 K) (kJ/mol of atoms)
1,-17.7
2,-37.8
3,-26.6
4,-33.7
5,-20.3
6,-32.3
7,-45.6
8,-35.8
9,-22.1
10,-42.9